## MgAgCl4 (PBE-GGA)

Data for a geometry-optimized MgAgCl4 structure.

SG = No. 216
raw formation energy = 0.24 eV/atom
offset from the most stable computed form = 1.305 eV/atom
calculated volume = 146.07 Å³/cell

Cell lengths 5.9115, 5.9115, 5.9115 Å; angles 60.00, 60.00, 60.00 degrees
Fractional positions:
Mg (0.0000, 0.0000, 0.0000)
Ag (0.7500, 0.7500, 0.7500)
Cl (0.3747, 0.3747, 0.3747)
Cl (0.3747, 0.3747, 0.8760)
Cl (0.3747, 0.8760, 0.3747)
Cl (0.8760, 0.3747, 0.3747)